Entry from the Alexandria database: a relaxed structure of MnRuAuCS (PBE).

Cell: 2.916 4.408 6.590 Å, 105.55 100.32 95.41°
Positions (direct):
Ru 0.481 0.414 0.071
S 0.561 0.247 0.375
Mn 0.928 0.964 0.155
Au 0.753 0.642 0.722
C 0.861 0.111 0.920

Properties
* volume: 79.38 Å³/cell
* offset from the most stable computed form: 229 meV per atom
* formation energy without anion corrections: 0.363 eV per atom
* crystal system: triclinic